A relaxed structure of La11Tl9In4, computed with PBE.

The magnetization is 0.00 μB per formula unit. The formation energy comes out at -0.41 eV/atom. For the theoretical density, the calculation gives 8.50 g cm⁻³. As for the symmetry: Cmmm, No. 65.

```
La11Tl9In4
1.0
8.065 -11.968 0.000
8.065 11.968 0.000
0.000 0.000 3.871
La Tl In
11 9 4
Cartesian
0.000 0.000 0.000
3.696 4.324 0.000
8.065 7.661 0.000
3.957 0.000 0.000
8.065 2.970 0.000
3.696 -4.324 0.000
12.434 4.324 0.000
8.065 -2.970 0.000
12.174 0.000 0.000
8.065 -7.661 0.000
12.434 -4.324 0.000
1.911 2.137 1.935
6.333 5.382 1.935
1.911 -2.137 1.935
9.798 5.382 1.935
8.065 0.000 1.935
6.333 -5.382 1.935
14.220 2.137 1.935
9.798 -5.382 1.935
14.220 -2.137 1.935
5.456 2.221 1.935
5.456 -2.221 1.935
10.675 2.221 1.935
10.675 -2.221 1.935
```

A relaxed structure of La9TlIn2, computed with PBE.

The magnetization is 0.00 μB per formula unit. The formation energy comes out at -0.28 eV/atom. For the theoretical density, the calculation gives 7.18 g cm⁻³. As for the symmetry: P4/mmm, No. 123.

```
La9TlIn2
1.0
5.064 0.000 0.000
0.000 5.064 0.000
0.000 0.000 15.196
La Tl In
9 1 2
Cartesian
0.000 0.000 0.000
0.000 0.000 5.071
0.000 0.000 10.126
0.000 2.532 2.547
0.000 2.532 7.598
0.000 2.532 12.649
2.532 0.000 2.547
2.532 0.000 7.598
2.532 0.000 12.649
2.532 2.532 0.000
2.532 2.532 5.067
2.532 2.532 10.129
```

A relaxed structure of LaY2TlIn, computed with PBE.

The magnetization is 0.00 μB per formula unit. The formation energy comes out at 0.23 eV/atom. For the theoretical density, the calculation gives 5.41 g cm⁻³. As for the symmetry: P4/mmm, No. 123.

```
LaY2TlIn
1.0
5.701 0.000 0.000
0.000 5.701 0.000
0.000 0.000 6.001
La Y Tl In
1 2 1 1
Cartesian
0.000 0.000 0.000
0.000 2.850 3.001
2.850 0.000 3.001
2.850 2.850 0.000
0.000 0.000 3.001
```

A relaxed structure of LaTm2In, computed with PBE.

The magnetization is 1.73 μB per formula unit. The formation energy comes out at -0.07 eV/atom. For the theoretical density, the calculation gives 8.54 g cm⁻³. The distance to the lowest polymorph of the same formula is 176 meV/atom. As for the symmetry: Fm-3m, No. 225.

```
LaTm2In
1.0
0.000 3.860 3.860
3.860 0.000 3.860
3.860 3.860 0.000
La Tm In
1 2 1
Cartesian
0.000 0.000 0.000
1.930 1.930 1.930
5.790 5.790 5.790
3.860 3.860 3.860
```

| no. | raw total energy (eV per atom) |
| --- | --- |
| 1 | -4.009 |
| 2 | -4.632 |
| 3 | -4.364 |
| 4 | -4.218 |